Record 1
First-principles (PBE) data for a geometry-optimized FeAs structure, as listed in Alexandria.

The structure in POSCAR format:
```
FeAs
1.0
4.906 0.000 0.000
0.000 6.618 0.000
0.000 0.000 7.427
Fe As
8 8
Direct
0.030 0.177 0.395 Fe
0.225 0.525 0.379 Fe
0.275 0.475 0.879 Fe
0.470 0.823 0.895 Fe
0.530 0.323 0.605 Fe
0.725 0.975 0.621 Fe
0.775 0.025 0.121 Fe
0.970 0.677 0.105 Fe
0.007 0.873 0.853 As
0.014 0.329 0.109 As
0.486 0.671 0.609 As
0.493 0.127 0.353 As
0.507 0.627 0.147 As
0.514 0.171 0.891 As
0.986 0.829 0.391 As
0.993 0.373 0.647 As
```

Computed properties:
energy: -6.607 eV per atom
DFT formation energy: -10 kJ/mol of formula units
space-group type: No. 19
ρ: 7.2 g/cm3
D(E_F): 1.846 states/eV/f.u.


Record 2
First-principles (PBE) data for a geometry-optimized LiAgP2 structure, as listed in Alexandria.

The structure in POSCAR format:
```
LiAgP2
1.0
4.598 -1.636 0.000
4.598 1.636 0.000
-1.036 0.000 4.862
Li Ag P
1 1 2
Direct
0.000 0.000 0.000 Li
0.500 0.500 0.500 Ag
0.263 0.263 0.157 P
0.737 0.737 0.843 P
```

Computed properties:
energy: -4.035 eV per atom
relative energy among the computed polymorphs: 0.0 meV per atom
DFT formation energy: -54 kJ/mol of formula units
space-group type: No. 12
ρ: 4.0 g/cm3
D(E_F): 0.552 states/eV/f.u.


Record 3
First-principles (PBE) data for a geometry-optimized RbHfS3 structure, as listed in Alexandria.

The structure in POSCAR format:
```
RbHfS3
1.0
5.165 0.000 0.000
0.000 5.165 0.000
0.000 0.000 5.165
Rb Hf S
1 1 3
Direct
0.000 0.000 0.000 Rb
0.500 0.500 0.500 Hf
0.000 0.000 0.500 S
0.000 0.500 0.000 S
0.500 0.000 0.000 S
```

Computed properties:
energy: -3.281 eV per atom
relative energy among the computed polymorphs: 2597.5 meV per atom
space-group type: No. 221
ρ: 4.3 g/cm3
D(E_F): 7.490 states/eV/f.u.
energy relative to the elements, uncorrected: 1.38 eV per atom


> Among the records above, which one has the lowest ρ?

LiAgP2


> Which value of D(E_F) does entry 3 give?

7.490 states/eV/f.u.


> Look up the energy of the third one.

-3.281 eV per atom